No. 1
{"formula": "KSb2PbI", "functional": "GGA-PBEsol", "state": "optimized geometry", "space_group": "No. 123", "dos_ef_per_ev_cell": 5.0, "volume_a3_per_atom": 42.86, "total_energy_ev_per_atom": -3.0566, "total_magnetization_mub_per_fu": 0.96, "formation_energy_uncorrected_ev_per_atom": 0.15, "cell": [[5.754, 0.000, 0.000], [0.000, 5.754, 0.000], [0.000, 0.000, 6.472]], "species": ["K", "Sb", "Sb", "Pb", "I"], "fractional_positions": [[0.000, 0.000, 0.000], [0.000, 0.500, 0.500], [0.500, 0.000, 0.500], [0.500, 0.500, 0.500], [0.500, 0.500, 0.000]]}

No. 2
{"formula": "KPdI2", "functional": "GGA-PBEsol", "state": "optimized geometry", "space_group": "No. 225", "dos_ef_per_ev_cell": 6.8, "volume_a3_per_atom": 28.02, "total_energy_ev_per_atom": -2.8967, "total_magnetization_mub_per_fu": 0.88, "formation_energy_uncorrected_ev_per_atom": -0.24, "cell": [[0.000, 3.827, 3.827], [3.827, 0.000, 3.827], [3.827, 3.827, 0.000]], "species": ["K", "Pd", "I", "I"], "fractional_positions": [[0.000, 0.000, 0.000], [0.500, 0.500, 0.500], [0.250, 0.250, 0.250], [0.750, 0.750, 0.750]]}

No. 3
{"formula": "K2TlPdI", "functional": "GGA-PBEsol", "state": "optimized geometry", "space_group": "No. 123", "dos_ef_per_ev_cell": 1.6, "volume_a3_per_atom": 37.21, "total_energy_ev_per_atom": -2.9289, "total_magnetization_mub_per_fu": 0.00, "formation_energy_uncorrected_ev_per_atom": -0.40, "cell": [[5.973, 0.000, 0.000], [0.000, 5.973, 0.000], [0.000, 0.000, 5.216]], "species": ["K", "K", "Tl", "Pd", "I"], "fractional_positions": [[0.000, 0.500, 0.000], [0.500, 0.000, 0.000], [0.000, 0.000, 0.500], [0.000, 0.000, 0.000], [0.500, 0.500, 0.500]]}

No. 4
{"formula": "K2PtI6", "functional": "GGA-PBEsol", "state": "optimized geometry", "space_group": "No. 128", "volume_a3_per_atom": 35.99, "total_energy_ev_per_atom": -2.9512, "total_magnetization_mub_per_fu": 0.00, "formation_energy_uncorrected_ev_per_atom": -0.75, "cell": [[7.377, 0.000, 0.000], [0.000, 7.377, 0.000], [0.000, 0.000, 11.905]], "species": ["K", "K", "K", "K", "Pt", "Pt", "I", "I", "I", "I", "I", "I", "I", "I", "I", "I", "I", "I"], "fractional_positions": [[0.000, 0.500, 0.250], [0.000, 0.500, 0.750], [0.500, 0.000, 0.250], [0.500, 0.000, 0.750], [0.000, 0.000, 0.000], [0.500, 0.500, 0.500], [0.000, 0.000, 0.224], [0.000, 0.000, 0.776], [0.194, 0.303, 0.500], [0.197, 0.306, 0.000], [0.303, 0.806, 0.500], [0.306, 0.803, 0.000], [0.500, 0.500, 0.276], [0.500, 0.500, 0.724], [0.694, 0.197, 0.000], [0.697, 0.194, 0.500], [0.803, 0.694, 0.000], [0.806, 0.697, 0.500]]}